[1]
The following is a DFT calculation (GGA-PBE) of an optimized crystal structure of FeCuAg2.

Computed properties:
As for the total energy: -4.224 eV per atom. The space group is No. 139. For the energy of formation, the calculation gives 0.341 eV per atom. The energy above the most stable polymorph in this dataset is 126 meV/atom.

Lattice parameters (Å, degrees): 4.0149 4.0149 7.5371 90.00 90.00 90.00
Closest atoms and distances in Å follow each position.
Atoms (fractional coordinates):
Fe 0.0000 0.0000 0.0000  8 Ag 2.75, 4 Cu 2.84
Fe 0.5000 0.5000 0.5000  8 Ag 2.75, 4 Cu 2.84
Cu 0.0000 0.0000 0.5000  8 Ag 2.75, 4 Fe 2.84
Cu 0.5000 0.5000 0.0000  8 Ag 2.75, 4 Fe 2.84
Ag 0.0000 0.5000 0.2500  4 Fe 2.75, 4 Cu 2.75, 4 Ag 2.84
Ag 0.0000 0.5000 0.7500  4 Fe 2.75, 4 Cu 2.75, 4 Ag 2.84
Ag 0.5000 0.0000 0.2500  4 Fe 2.75, 4 Cu 2.75, 4 Ag 2.84
Ag 0.5000 0.0000 0.7500  4 Fe 2.75, 4 Cu 2.75, 4 Ag 2.84

---

[2]
The following is a DFT calculation (GGA-PBE) of an optimized crystal structure of KIn2Ni.

Computed properties:
As for the total energy: -2.704 eV per atom. The space group is No. 216. For the energy of formation, the calculation gives 0.385 eV per atom.

Lattice parameters (Å, degrees): 7.2752 7.2752 7.2752 90.00 90.00 90.00
Closest atoms and distances in Å follow each position.
Atoms (fractional coordinates):
K 0.0000 0.0000 0.0000  4 In 3.15, 4 Ni 3.15
K 0.0000 0.5000 0.5000  4 In 3.15, 4 Ni 3.15
K 0.5000 0.0000 0.5000  4 In 3.15, 4 Ni 3.15
K 0.5000 0.5000 0.0000  4 In 3.15, 4 Ni 3.15
In 0.0000 0.0000 0.5000  4 In 3.15, 4 Ni 3.15
In 0.0000 0.5000 0.0000  4 In 3.15, 4 Ni 3.15
In 0.2500 0.2500 0.2500  4 In 3.15, 4 K 3.15
In 0.2500 0.7500 0.7500  4 In 3.15, 4 K 3.15
In 0.5000 0.0000 0.0000  4 In 3.15, 4 Ni 3.15
In 0.5000 0.5000 0.5000  4 Ni 3.15, 4 In 3.15
In 0.7500 0.2500 0.7500  4 In 3.15, 4 K 3.15
In 0.7500 0.7500 0.2500  4 In 3.15, 4 K 3.15
Ni 0.2500 0.2500 0.7500  4 In 3.15, 4 K 3.15
Ni 0.2500 0.7500 0.2500  4 In 3.15, 4 K 3.15
Ni 0.7500 0.2500 0.2500  4 In 3.15, 4 K 3.15
Ni 0.7500 0.7500 0.7500  4 In 3.15, 4 K 3.15

---

[3]
The following is a DFT calculation (GGA-PBE) of an optimized crystal structure of LiTaPt6.

Computed properties:
As for the total energy: -6.254 eV per atom. The space group is No. 166. For the energy of formation, the calculation gives -0.002 eV per atom. The energy above the most stable polymorph in this dataset is 629 meV/atom.

Lattice parameters (Å, degrees): 5.2887 5.2887 5.2887 86.56 86.56 86.56
Closest atoms and distances in Å follow each position.
Atoms (fractional coordinates):
Li 0.0000 0.0000 0.0000  6 Pt 2.58
Ta 0.5000 0.5000 0.5000  6 Pt 2.54
Pt 0.1695 0.1695 0.5587  1 Ta 2.54, 1 Li 2.58, 5 Pt 2.64-2.82
Pt 0.1695 0.5587 0.1695  1 Ta 2.54, 1 Li 2.58, 5 Pt 2.64-2.82
Pt 0.4413 0.8305 0.8305  1 Ta 2.54, 1 Li 2.58, 5 Pt 2.64-2.82
Pt 0.5587 0.1695 0.1695  1 Ta 2.54, 1 Li 2.58, 5 Pt 2.64-2.82
Pt 0.8305 0.4413 0.8305  1 Ta 2.54, 1 Li 2.58, 5 Pt 2.64-2.82
Pt 0.8305 0.8305 0.4413  1 Ta 2.54, 1 Li 2.58, 5 Pt 2.64-2.82

---

[4]
The following is a DFT calculation (GGA-PBE) of an optimized crystal structure of BeAs2Pd8.

Computed properties:
As for the total energy: -5.304 eV per atom. The space group is No. 12. For the energy of formation, the calculation gives -0.343 eV per atom. The energy above the most stable polymorph in this dataset is 0 meV/atom.

Lattice parameters (Å, degrees): 7.4873 7.4873 5.9272 110.18 110.18 32.19
Closest atoms and distances in Å follow each position.
Atoms (fractional coordinates):
Be 0.0000 0.0000 0.0000  8 Pd 2.47-2.48
As 0.3285 0.3285 0.3132  7 Pd 2.43-2.67
As 0.6715 0.6715 0.6868  7 Pd 2.43-2.67
Pd 0.0911 0.0911 0.4413  1 Be 2.47, 2 As 2.56, 2 Pd 2.73
Pd 0.1670 0.1670 0.9666  1 Be 2.48, 3 As 2.49-2.67
Pd 0.3049 0.3049 0.7017  1 As 2.45
Pd 0.4746 0.4746 0.1992  1 As 2.43, 2 Be 2.48, 1 Pd 2.71
Pd 0.5254 0.5254 0.8008  1 As 2.43, 2 Be 2.48, 1 Pd 2.71
Pd 0.6951 0.6951 0.2983  1 As 2.45
Pd 0.8330 0.8330 0.0334  1 Be 2.48, 3 As 2.49-2.67
Pd 0.9089 0.9089 0.5587  1 Be 2.47, 2 As 2.56, 2 Pd 2.73

---

[5]
The following is a DFT calculation (GGA-PBE) of an optimized crystal structure of Zr4Be6Ir7.

Computed properties:
As for the total energy: -7.547 eV per atom. The space group is No. 229. For the energy of formation, the calculation gives -0.572 eV per atom.

Lattice parameters (Å, degrees): 6.8257 6.8257 6.8257 109.47 109.47 109.47
Closest atoms and distances in Å follow each position.
Atoms (fractional coordinates):
Zr 0.0000 0.0000 0.5000  6 Ir 2.79, 6 Be 2.83
Zr 0.0000 0.5000 0.0000  6 Ir 2.79, 6 Be 2.83
Zr 0.5000 0.0000 0.0000  6 Ir 2.79, 6 Be 2.83
Zr 0.5000 0.5000 0.5000  6 Ir 2.79, 6 Be 2.83
Be 0.0000 0.3162 0.3162  5 Ir 2.45-2.49
Be 0.0000 0.6838 0.6838  5 Ir 2.45-2.49
Be 0.3162 0.0000 0.3162  5 Ir 2.45-2.49
Be 0.3162 0.3162 0.0000  5 Ir 2.45-2.49
Be 0.6838 0.0000 0.6838  5 Ir 2.45-2.49
Be 0.6838 0.6838 0.0000  5 Ir 2.45-2.49
Ir 0.0000 0.0000 0.0000  6 Be 2.49
Ir 0.2500 0.5000 0.7500  4 Be 2.45
Ir 0.2500 0.7500 0.5000  4 Be 2.45
Ir 0.5000 0.2500 0.7500  4 Be 2.45
Ir 0.5000 0.7500 0.2500  4 Be 2.45
Ir 0.7500 0.2500 0.5000  4 Be 2.45
Ir 0.7500 0.5000 0.2500  4 Be 2.45

---

[6]
The following is a DFT calculation (GGA-PBE) of an optimized crystal structure of LiTeI.

Computed properties:
As for the total energy: -2.671 eV per atom. The space group is No. 2. The energy above the most stable polymorph in this dataset is 204 meV/atom.

Lattice parameters (Å, degrees): 4.8088 4.8270 8.9207 103.04 103.02 99.48
Closest atoms and distances in Å follow each position.
Atoms (fractional coordinates):
Li 0.1346 0.1337 0.2683  2 I 2.91, 4 Te 3.09-3.10
Li 0.8654 0.8663 0.7317  2 I 2.91, 4 Te 3.09-3.10
Te 0.2499 0.7501 0.4997  4 Li 3.09-3.10, 2 Te 3.11-3.12
Te 0.7501 0.2499 0.5003  4 Li 3.09-3.10, 2 Te 3.11-3.12
I 0.2510 0.7482 0.9998  2 Li 2.91, 2 I 3.11-3.12
I 0.7490 0.2518 0.0002  2 Li 2.91, 2 I 3.11-3.12

---

[7]
The following is a DFT calculation (GGA-PBE) of an optimized crystal structure of Tb2DyTmTl2.

Computed properties:
As for the total energy: -4.112 eV per atom. The space group is No. 26. For the energy of formation, the calculation gives -0.268 eV per atom.

Lattice parameters (Å, degrees): 5.0839 9.9504 6.8244 90.00 90.00 90.00
Closest atoms and distances in Å follow each position.
Atoms (fractional coordinates):
Tb 0.0000 0.0435 0.0000  5 Tl 3.22-3.54, 4 Tb 3.49-3.52
Tb 0.0000 0.9565 0.5000  5 Tl 3.22-3.54, 4 Tb 3.49-3.52
Tb 0.5000 0.1868 0.2819  4 Tl 3.20-3.23, 2 Tb 3.49
Tb 0.5000 0.8132 0.7819  4 Tl 3.20-3.23, 2 Tb 3.49
Dy 0.5000 0.4572 0.9080  5 Tl 3.21-3.48, 2 Tm 3.50, 2 Dy 3.52
Dy 0.5000 0.5428 0.4080  5 Tl 3.21-3.48, 2 Tm 3.50, 2 Dy 3.52
Tm 0.0000 0.3121 0.6247  4 Tl 3.17-3.19, 2 Dy 3.50
Tm 0.0000 0.6879 0.1247  4 Tl 3.17-3.19, 2 Dy 3.50
Tl 0.0000 0.3703 0.1658  2 Tm 3.17-3.18, 4 Dy 3.21-3.48, 3 Tb 3.23-3.44
Tl 0.0000 0.6297 0.6658  2 Tm 3.17-3.18, 4 Dy 3.21-3.48, 3 Tb 3.23-3.44
Tl 0.5000 0.1372 0.7456  2 Tm 3.19, 6 Tb 3.20-3.54, 1 Dy 3.37
Tl 0.5000 0.8628 0.2456  2 Tm 3.19, 6 Tb 3.20-3.54, 1 Dy 3.37

---

[8]
The following is a DFT calculation (GGA-PBE) of an optimized crystal structure of RbHoMg2Cl8.

Computed properties:
As for the total energy: -3.931 eV per atom. The space group is No. 2.

Lattice parameters (Å, degrees): 6.5503 6.5881 9.1349 76.16 77.25 75.84
Closest atoms and distances in Å follow each position.
Atoms (fractional coordinates):
Rb 0.0000 0.0000 0.0000  6 Cl 3.25-3.56
Ho 0.0000 0.0000 0.5000  6 Cl 2.61-2.67
Mg 0.4577 0.4494 0.2108  5 Cl 2.41-2.54
Mg 0.5423 0.5506 0.7892  5 Cl 2.41-2.54
Cl 0.1892 0.7296 0.7219  1 Mg 2.46, 1 Ho 2.67
Cl 0.2398 0.7802 0.2922  1 Mg 2.47, 1 Ho 2.66
Cl 0.2823 0.2397 0.4465  1 Mg 2.47, 1 Ho 2.61
Cl 0.3610 0.3151 0.0183  2 Mg 2.41-2.54
Cl 0.6390 0.6849 0.9817  2 Mg 2.41-2.54
Cl 0.7177 0.7603 0.5535  1 Mg 2.47, 1 Ho 2.61
Cl 0.7602 0.2198 0.7078  1 Mg 2.47, 1 Ho 2.66
Cl 0.8108 0.2704 0.2781  1 Mg 2.46, 1 Ho 2.67

---

[9]
The following is a DFT calculation (GGA-PBE) of an optimized crystal structure of Sn2HgTe2.

Computed properties:
As for the total energy: -3.065 eV per atom. The space group is No. 62. The energy above the most stable polymorph in this dataset is 18 meV/atom.

Lattice parameters (Å, degrees): 9.6522 6.3148 11.2540 90.00 90.00 90.00
Closest atoms and distances in Å follow each position.
Atoms (fractional coordinates):
Sn 0.0623 0.2500 0.1053  4 Te 2.99-3.20, 2 Hg 3.17-3.26
Sn 0.1173 0.2500 0.6105  5 Te 3.11-3.31, 1 Hg 3.12
Sn 0.3827 0.7500 0.1105  5 Te 3.11-3.31, 1 Hg 3.12
Sn 0.4377 0.7500 0.6053  4 Te 2.99-3.20, 2 Hg 3.17-3.26
Sn 0.5623 0.2500 0.3947  4 Te 2.99-3.20, 2 Hg 3.17-3.26
Sn 0.6173 0.2500 0.8895  5 Te 3.11-3.31, 1 Hg 3.12
Sn 0.8827 0.7500 0.3895  5 Te 3.11-3.31, 1 Hg 3.12
Sn 0.9377 0.7500 0.8947  4 Te 2.99-3.20, 2 Hg 3.17-3.26
Hg 0.2376 0.2500 0.3531  3 Sn 3.12-3.26, 1 Te 3.47
Hg 0.2624 0.7500 0.8531  3 Sn 3.12-3.26, 1 Te 3.47
Hg 0.7376 0.2500 0.1469  3 Sn 3.12-3.26, 1 Te 3.47
Hg 0.7624 0.7500 0.6469  3 Sn 3.12-3.26, 1 Te 3.47
Te 0.0429 0.7500 0.1500  5 Sn 3.05-3.31
Te 0.1316 0.7500 0.5662  4 Sn 2.99-3.20
Te 0.3684 0.2500 0.0662  4 Sn 2.99-3.20
Te 0.4571 0.2500 0.6500  5 Sn 3.05-3.31
Te 0.5429 0.7500 0.3500  5 Sn 3.05-3.31
Te 0.6316 0.7500 0.9338  4 Sn 2.99-3.20
Te 0.8684 0.2500 0.4338  4 Sn 2.99-3.20
Te 0.9571 0.2500 0.8500  5 Sn 3.05-3.31

---

[10]
The following is a DFT calculation (GGA-PBE) of an optimized crystal structure of CaGa2Ni2P.

Computed properties:
As for the total energy: -4.592 eV per atom. The space group is No. 123. For the energy of formation, the calculation gives -0.421 eV per atom.

Lattice parameters (Å, degrees): 4.2986 4.2986 5.5936 90.00 90.00 90.00
Closest atoms and distances in Å follow each position.
Atoms (fractional coordinates):
Ca 0.0000 0.0000 0.0000  2 P 2.80
Ga 0.5000 0.5000 0.2387  4 Ni 2.60, 1 Ga 2.67
Ga 0.5000 0.5000 0.7613  4 Ni 2.60, 1 Ga 2.67
Ni 0.0000 0.5000 0.5000  2 P 2.15
Ni 0.5000 0.0000 0.5000  2 P 2.15
P 0.0000 0.0000 0.5000  4 Ni 2.15

---

[11]
The following is a DFT calculation (GGA-PBE) of an optimized crystal structure of Fe2MoAu.

Computed properties:
As for the total energy: -7.471 eV per atom. The space group is No. 160. For the energy of formation, the calculation gives 0.287 eV per atom. The energy above the most stable polymorph in this dataset is 126 meV/atom.

Lattice parameters (Å, degrees): 2.7852 2.7852 26.0370 90.00 90.00 120.00
Closest atoms and distances in Å follow each position.
Atoms (fractional coordinates):
Fe 0.0000 0.0000 0.0000  3 Fe 2.44
Fe 0.0000 0.0000 0.2628  3 Fe 2.44, 3 Mo 2.65
Fe 0.3333 0.6667 0.6667  3 Fe 2.44
Fe 0.3333 0.6667 0.9294  3 Fe 2.44, 3 Mo 2.65
Fe 0.6667 0.3333 0.3333  3 Fe 2.44
Fe 0.6667 0.3333 0.5961  3 Fe 2.44, 3 Mo 2.65
Mo 0.0000 0.0000 0.5154  3 Fe 2.65, 6 Mo 2.79, 3 Au 2.96
Mo 0.3333 0.6667 0.1820  3 Fe 2.65, 6 Mo 2.79, 3 Au 2.96
Mo 0.6667 0.3333 0.8487  3 Fe 2.65, 6 Mo 2.79, 3 Au 2.96
Au 0.0000 0.0000 0.7534  3 Fe 2.77, 6 Au 2.79, 3 Mo 2.96
Au 0.3333 0.6667 0.4201  3 Fe 2.77, 6 Au 2.79, 3 Mo 2.96
Au 0.6667 0.3333 0.0868  3 Fe 2.77, 6 Au 2.79, 3 Mo 2.96

---

[12]
The following is a DFT calculation (GGA-PBE) of an optimized crystal structure of KNa3N.

Computed properties:
As for the total energy: -1.088 eV per atom. The space group is No. 221. The energy above the most stable polymorph in this dataset is 1274 meV/atom.

Lattice parameters (Å, degrees): 6.0166 6.0166 6.0166 90.00 90.00 90.00
Closest atoms and distances in Å follow each position.
Atoms (fractional coordinates):
K 0.0000 0.0000 0.0000  6 Na 3.01
Na 0.0000 0.0000 0.5000  2 K 3.01
Na 0.0000 0.5000 0.0000  2 K 3.01
Na 0.5000 0.0000 0.0000  2 K 3.01
N 0.5000 0.5000 0.5000  12 Na 4.25